A plane-wave DFT calculation with PBE was carried out for a relaxed HoCdCuAg crystal.

Computed properties:
Its total energy is -3.321 eV per atom. The density of states at the Fermi level comes out at 1.1044 states/eV per atom. The formation energy is -20.3 kJ/mol of atoms.

CIF file:
```
data_HoCdCuAg
_chemical_formula_sum 'Ho4 Cd4 Cu4 Ag4'
_space_group_name_H-M_alt 'F -4 3 m'
_space_group_IT_number 216
_space_group_name_Hall 'F -4 2 3'
_cell_length_a 6.827
_cell_length_b 6.827
_cell_length_c 6.827
_cell_angle_alpha 90.00
_cell_angle_beta 90.00
_cell_angle_gamma 90.00
loop_
_atom_site_label
_atom_site_fract_x
_atom_site_fract_y
_atom_site_fract_z
_atom_site_occupancy
Ho1 0.000 0.000 0.000 1
Cd1 0.000 0.000 0.500 1
Cu1 0.250 0.250 0.750 1
Ag1 0.250 0.250 0.250 1
```